Entry from Alexandria via LeMat-Bulk: an optimized crystal structure of GaSn8Au2 (PBE).

Theoretical density   8.4 Mg/m³
E_form   -0.323 eV/f.u.

abc: 9.630 9.630 7.071
angles: 96.01 96.01 25.51
Atoms (fractional coordinates):
1 Ga 0.000 0.000 0.000
2 Sn 0.093 0.093 0.448
3 Sn 0.155 0.155 0.997
4 Sn 0.283 0.283 0.677
5 Sn 0.474 0.474 0.260
6 Sn 0.526 0.526 0.740
7 Sn 0.717 0.717 0.323
8 Sn 0.845 0.845 0.003
9 Sn 0.907 0.907 0.552
10 Au 0.322 0.322 0.278
11 Au 0.678 0.678 0.722